Record 1
4
Lattice="1.350 0.779 8.417 -1.350 0.779 8.417 0.000 -1.558 8.417" Properties=species:S:1:pos:R:3 comment="MnBeMo2 (PBE-GGA, relaxed)" n_ef_per_ev_fu=2.21 ef_mev_per_atom=326 energy_ev_per_atom=-8.313 mass_density_g_cm3=8.00 pbc="T T T"
Mn 0.000 0.000 0.000
Be 0.000 0.000 12.626
Mo 0.000 0.000 6.305
Mo 0.000 0.000 18.947

***

Record 2
5
Lattice="4.524 0.000 0.000 0.000 4.524 0.000 0.000 0.000 4.524" Properties=species:S:1:pos:R:3 comment="Mn3BeMo (PBE-GGA, relaxed)" n_ef_per_ev_fu=6.21 ef_mev_per_atom=1619 energy_ev_per_atom=-6.795 mass_density_g_cm3=4.84 polymorph_energy_ev_per_atom=1.054 pbc="T T T"
Mn 0.000 0.000 2.262
Mn 0.000 2.262 0.000
Mn 2.262 0.000 0.000
Be 2.262 2.262 2.262
Mo 0.000 0.000 0.000

***

Record 3
4
Lattice="-1.455 1.999 4.004 1.455 -1.999 4.004 1.455 1.999 -4.004" Properties=species:S:1:pos:R:3 comment="Mn2BeMo (PBE-GGA, relaxed)" n_ef_per_ev_fu=2.86 ef_mev_per_atom=39 energy_ev_per_atom=-8.185 mass_density_g_cm3=7.66 pbc="T T T"
Mn 0.000 0.000 0.000
Mn 0.000 1.999 2.066
Be 0.000 0.000 4.152
Mo 1.455 0.000 2.033

***

Record 4
5
Lattice="4.221 0.000 0.000 0.000 4.221 0.000 0.000 0.000 4.221" Properties=species:S:1:pos:R:3 comment="MnBe3Mo (PBE-GGA, relaxed)" n_ef_per_ev_fu=3.03 ef_mev_per_atom=1275 energy_ev_per_atom=-4.961 mass_density_g_cm3=3.93 polymorph_energy_ev_per_atom=0.452 pbc="T T T"
Mn 0.000 0.000 0.000
Be 0.000 2.111 2.111
Be 2.111 0.000 2.111
Be 2.111 2.111 0.000
Mo 2.111 2.111 2.111